DFT (PBE) results for a relaxed structure of SrTe2N2.

Density   3.87 g cm⁻³
Energy above the lowest structure with this stoichiometry   0.577 eV/atom
Calculated volume   31.8 Å³ per atom
M_tot   4.7 μB/f.u.

Geometry as POSCAR:
```
SrTe2N2
1.0
4.8073 0.0000 0.0000
0.0000 4.8073 0.0000
0.0000 0.0000 6.8770
Te Sr N
2 1 2
direct
0.0000 0.0000 0.5000
0.5000 0.5000 0.5000
0.0000 0.0000 0.0000
0.5000 0.0000 0.0000
0.0000 0.5000 0.0000
```



DFT (PBE) results for a relaxed structure of Sr2TeN.

Density   4.40 g cm⁻³
Energy above the lowest structure with this stoichiometry   0.000 eV/atom
Calculated volume   29.9 Å³ per atom
M_tot   1.0 μB/f.u.

Geometry as POSCAR:
```
Sr2TeN
1.0
7.6720 0.0000 0.0000
0.0000 7.6720 0.0000
3.8360 3.8360 4.0625
Sr N Te
4 2 2
direct
0.8750 0.7916 0.7500
0.3750 0.4584 0.7500
0.2084 0.6250 0.2500
0.5416 0.1250 0.2500
0.2500 0.7500 0.5000
0.5000 0.5000 0.0000
0.0000 0.0000 0.0000
0.7500 0.2500 0.5000
```



DFT (PBE) results for a relaxed structure of Sr4Te2N.

Density   4.57 g cm⁻³
Raw total energy   -4.19 eV/atom
Calculated volume   32.2 Å³ per atom
M_tot   0.0 μB/f.u.

Geometry as POSCAR:
```
Sr4Te2N
1.0
5.2129 0.0000 0.0000
0.0000 5.2129 0.0000
2.6064 2.6064 8.2881
Te Sr N
2 4 1
direct
0.3606 0.3606 0.2789
0.6394 0.6394 0.7211
0.8420 0.8420 0.3160
0.5000 0.0000 0.0000
0.1580 0.1580 0.6840
0.0000 0.5000 0.0000
0.0000 0.0000 0.0000
```



DFT (PBE) results for a relaxed structure of Sr2TeN.

Density   4.43 g cm⁻³
Energy above the lowest structure with this stoichiometry   0.158 eV/atom
Calculated volume   29.7 Å³ per atom
M_tot   0.0 μB/f.u.

Geometry as POSCAR:
```
Sr2TeN
1.0
3.8590 0.0000 0.0000
1.9295 3.3420 0.0000
1.9295 1.1140 9.2078
Sr Te N
2 1 1
direct
0.8825 0.8825 0.3525
0.1175 0.1175 0.6475
0.0000 0.0000 0.0000
0.5000 0.5000 0.5000
```



DFT (PBE) results for a relaxed structure of Sr6Te3N2.

Density   4.49 g cm⁻³
Raw total energy   -4.49 eV/atom
Calculated volume   31.5 Å³ per atom
M_tot   0.0 μB/f.u.

Geometry as POSCAR:
```
Sr6Te3N2
1.0
4.9780 0.0000 -0.9771
-0.1918 4.9743 -0.9771
0.1492 0.1550 13.9296
Sr N Te
6 2 3
direct
0.5854 0.0854 0.1709
0.4146 0.9146 0.8291
0.3082 0.3082 0.6164
0.9146 0.4146 0.8291
0.0854 0.5854 0.1709
0.6918 0.6918 0.3836
0.3958 0.3958 0.7915
0.6042 0.6042 0.2085
0.8210 0.8210 0.6421
0.1790 0.1790 0.3579
0.0000 0.0000 0.0000
```



DFT (PBE) results for a relaxed structure of SrTe2N2.

Density   5.75 g cm⁻³
Energy above the lowest structure with this stoichiometry   0.163 eV/atom
Calculated volume   21.4 Å³ per atom
M_tot   1.7 μB/f.u.

Geometry as POSCAR:
```
SrTe2N2
1.0
-0.0573 3.9160 2.7240
-4.7597 0.1341 -0.2929
-0.3127 -2.6847 3.8530
Sr Te N
1 2 2
direct
0.5000 0.5000 0.5000
0.5000 0.0000 0.0000
0.0000 0.5000 0.0000
0.0000 0.0000 0.0000
0.0000 0.0000 0.5000
```



DFT (PBE) results for a relaxed structure of Sr12Te5N3.

Density   3.54 g cm⁻³
Raw total energy   -3.84 eV/atom
Calculated volume   40.7 Å³ per atom
M_tot   0.0 μB/f.u.

Geometry as POSCAR:
```
Sr12Te5N3
1.0
16.1658 0.0000 0.0000
-5.3886 15.2413 0.0000
-5.3886 -7.6206 13.1993
Sr Te N
48 20 12
direct
0.7996 0.3747 0.5067
0.2070 0.0751 0.2004
0.7930 0.9249 0.7996
0.9933 0.2930 0.8680
0.0067 0.2996 0.3747
0.4249 0.7996 0.2930
0.6253 0.4249 0.1320
0.8747 0.3680 0.0751
0.3680 0.8747 0.5751
0.7070 0.7004 0.5751
0.7996 0.4249 0.7930
0.8680 0.7930 0.9933
0.3747 0.7996 0.0067
0.1320 0.2070 0.0067
0.7070 0.0067 0.6320
0.2004 0.5751 0.2070
0.4933 0.3680 0.7930
0.5751 0.3747 0.3680
0.6253 0.2004 0.9933
0.8747 0.5067 0.2996
0.1253 0.6320 0.9249
0.1253 0.4933 0.7004
0.9249 0.1320 0.1253
0.2930 0.2996 0.4249
0.2070 0.1320 0.5067
0.9249 0.7930 0.2996
0.7004 0.9933 0.1253
0.3680 0.4933 0.2930
0.9933 0.7004 0.6253
0.5067 0.8747 0.7996
0.7930 0.8680 0.4933
0.0751 0.2070 0.7004
0.8680 0.0751 0.3747
0.4933 0.1253 0.2004
0.6320 0.5067 0.7070
0.2996 0.0067 0.8747
0.5067 0.6320 0.2070
0.3747 0.5751 0.8680
0.2930 0.9933 0.3680
0.6320 0.1253 0.4249
0.0067 0.7070 0.1320
0.4249 0.6253 0.6320
0.5751 0.2004 0.7070
0.7004 0.7070 0.0751
0.0751 0.8680 0.8747
0.1320 0.9249 0.6253
0.2004 0.6253 0.4933
0.2996 0.2930 0.9249
0.6250 0.8750 0.2500
0.8750 0.2500 0.6250
0.1250 0.3750 0.2500
0.5000 0.5000 0.0000
0.6250 0.7500 0.8750
0.2500 0.8750 0.1250
0.3750 0.2500 0.1250
0.8750 0.6250 0.7500
0.0000 0.0000 0.0000
0.0000 0.5000 0.5000
0.2500 0.3750 0.6250
0.0000 0.5000 0.0000
0.3750 0.1250 0.7500
0.0000 0.0000 0.5000
0.5000 0.0000 0.0000
0.7500 0.6250 0.3750
0.5000 0.0000 0.5000
0.1250 0.7500 0.3750
0.5000 0.5000 0.5000
0.7500 0.1250 0.8750
0.8750 0.1250 0.2500
0.3750 0.6250 0.2500
0.1250 0.2500 0.8750
0.6250 0.3750 0.7500
0.3750 0.7500 0.6250
0.7500 0.3750 0.1250
0.8750 0.7500 0.1250
0.1250 0.8750 0.7500
0.2500 0.6250 0.8750
0.2500 0.1250 0.3750
0.6250 0.2500 0.3750
0.7500 0.8750 0.6250
```



DFT (PBE) results for a relaxed structure of Sr3TeN.

Density   3.86 g cm⁻³
Energy above the lowest structure with this stoichiometry   0.139 eV/atom
Calculated volume   34.8 Å³ per atom
M_tot   0.0 μB/f.u.

Geometry as POSCAR:
```
Sr3TeN
1.0
3.9792 0.0000 0.0000
0.0000 8.8027 -0.1140
-1.9896 -0.4041 9.9328
Sr N Te
6 2 2
direct
0.1423 0.5223 0.2846
0.9647 0.7773 0.9294
0.0353 0.2227 0.0706
0.6951 0.1733 0.3902
0.3049 0.8267 0.6098
0.8577 0.4777 0.7154
0.6020 0.3428 0.2039
0.3980 0.6572 0.7961
0.8724 0.0956 0.7447
0.1276 0.9044 0.2553
```



DFT (PBE) results for a relaxed structure of Sr2TeN.

Density   3.63 g cm⁻³
Energy above the lowest structure with this stoichiometry   0.071 eV/atom
Calculated volume   36.2 Å³ per atom
M_tot   1.0 μB/f.u.

Geometry as POSCAR:
```
Sr2TeN
1.0
-6.1147 3.3520 3.6421
-6.5358 -4.4243 -6.9009
-0.5975 -5.6194 4.1686
Sr Te N
8 4 4
direct
0.3476 0.8215 0.3094
0.8476 0.3215 0.1906
0.2775 0.3215 0.1906
0.3476 0.6785 0.8094
0.7775 0.6785 0.8094
0.2775 0.1785 0.6906
0.7775 0.8215 0.3094
0.8476 0.1785 0.6906
0.5626 0.3991 0.8333
0.5626 0.1009 0.3333
0.0626 0.8991 0.6667
0.0626 0.6009 0.1667
0.0625 0.2616 0.4522
0.5625 0.7385 0.5478
0.0625 0.2384 0.9522
0.5625 0.7615 0.0478
```



DFT (PBE) results for a relaxed structure of SrTlTeN2.

Density   4.52 g cm⁻³
Energy above the lowest structure with this stoichiometry   0.151 eV/atom
Calculated volume   32.9 Å³ per atom
M_tot   4.4 μB/f.u.

Geometry as POSCAR:
```
SrTlTeN2
1.0
-1.9885 1.8379 -4.1722
-4.4305 -1.8527 1.2954
-1.4379 5.6613 3.1792
N Tl Te Sr
2 1 1 1
direct
0.0000 0.5000 0.0000
0.5000 0.0000 0.0000
0.5000 0.5000 0.5000
0.0000 0.0000 0.5000
0.0000 0.0000 0.0000
```



DFT (PBE) results for a relaxed structure of SrTlTeN2.

Density   5.65 g cm⁻³
Energy above the lowest structure with this stoichiometry   0.000 eV/atom
Calculated volume   26.3 Å³ per atom
M_tot   3.1 μB/f.u.

Geometry as POSCAR:
```
SrTlTeN2
1.0
-1.1295 3.6718 2.6146
1.1289 -2.3791 3.8288
5.7169 2.0512 -0.4110
Te N Sr Tl
1 2 1 1
direct
0.0000 0.0000 0.5000
0.0000 0.5000 0.0000
0.5000 0.0000 0.0000
0.5000 0.5000 0.5000
0.0000 0.0000 0.0000
```



DFT (PBE) results for a relaxed structure of SrVTeN2.

Density   4.05 g cm⁻³
Energy above the lowest structure with this stoichiometry   1.947 eV/atom
Calculated volume   24.1 Å³ per atom
M_tot   0.4 μB/f.u.

Geometry as POSCAR:
```
SrVTeN2
1.0
-2.3650 -3.3310 1.4840
2.7616 -2.7911 -1.8638
3.4998 -0.1047 5.3425
V Sr N Te
1 1 2 1
direct
0.5000 0.5000 0.5000
0.0000 0.0000 0.0000
0.0000 0.5000 0.0000
0.5000 0.0000 0.0000
0.0000 0.0000 0.5000
```



DFT (PBE) results for a relaxed structure of SrVTe2N.

Density   5.65 g cm⁻³
Energy above the lowest structure with this stoichiometry   0.000 eV/atom
Calculated volume   24.0 Å³ per atom
M_tot   0.7 μB/f.u.

Geometry as POSCAR:
```
SrVTe2N
1.0
-2.6069 1.4575 4.8167
-1.0615 -5.4618 1.0782
3.2391 -0.2675 1.8340
Te V N Sr
2 1 1 1
direct
0.5000 0.0000 0.0000
0.0000 0.5000 0.0000
0.0000 0.0000 0.0000
0.0000 0.0000 0.5000
0.5000 0.5000 0.5000
```



DFT (PBE) results for a relaxed structure of SrVTe2N.

Density   3.80 g cm⁻³
Energy above the lowest structure with this stoichiometry   1.660 eV/atom
Calculated volume   35.6 Å³ per atom
M_tot   5.0 μB/f.u.

Geometry as POSCAR:
```
SrVTe2N
1.0
6.1485 0.0000 0.0000
0.0000 6.1485 0.0000
0.0000 0.0000 4.7078
Te N V Sr
2 1 1 1
direct
0.5000 0.0000 0.0000
0.0000 0.5000 0.0000
0.0000 0.0000 0.5000
0.5000 0.5000 0.5000
0.0000 0.0000 0.0000
```



DFT (PBE) results for a relaxed structure of SrVTeN2.

Density   5.24 g cm⁻³
Energy above the lowest structure with this stoichiometry   0.000 eV/atom
Calculated volume   18.6 Å³ per atom
M_tot   0.8 μB/f.u.

Geometry as POSCAR:
```
SrVTeN2
1.0
4.1313 0.0000 0.0000
0.0000 4.1313 0.0000
0.0000 0.0000 5.4590
N Sr V Te
2 1 1 1
direct
0.0000 0.5000 0.0000
0.5000 0.0000 0.0000
0.5000 0.5000 0.5000
0.0000 0.0000 0.0000
0.0000 0.0000 0.5000
```



DFT (PBE) results for a relaxed structure of SrTeWN2.

Density   7.38 g cm⁻³
Energy above the lowest structure with this stoichiometry   0.000 eV/atom
Calculated volume   19.2 Å³ per atom
M_tot   0.0 μB/f.u.

Geometry as POSCAR:
```
SrTeWN2
1.0
-0.6946 -3.6970 -1.7571
2.2863 1.1278 -3.2769
4.5597 -2.0357 2.4808
Te Sr W N
1 1 1 2
direct
0.0000 0.0000 0.5000
0.5000 0.5000 0.5000
0.0000 0.0000 0.0000
0.5000 0.0000 0.0000
0.0000 0.5000 0.0000
```



DFT (PBE) results for a relaxed structure of SrTeWN2.

Density   6.32 g cm⁻³
Energy above the lowest structure with this stoichiometry   2.569 eV/atom
Calculated volume   22.4 Å³ per atom
M_tot   0.2 μB/f.u.

Geometry as POSCAR:
```
SrTeWN2
1.0
4.2655 0.0000 0.0000
0.0000 4.2655 0.0000
0.0000 0.0000 6.1646
N W Te Sr
2 1 1 1
direct
0.5000 0.0000 0.0000
0.0000 0.5000 0.0000
0.5000 0.5000 0.5000
0.0000 0.0000 0.5000
0.0000 0.0000 0.0000
```



DFT (PBE) results for a relaxed structure of SrYTe2N.

Density   4.61 g cm⁻³
Energy above the lowest structure with this stoichiometry   0.000 eV/atom
Calculated volume   32.1 Å³ per atom
M_tot   1.9 μB/f.u.

Geometry as POSCAR:
```
SrYTe2N
1.0
-1.2083 4.5006 3.7624
-5.5850 0.2921 -2.1430
-1.3414 -2.9468 3.0942
Te Sr Y N
2 1 1 1
direct
0.0000 0.5000 0.0000
0.5000 0.0000 0.0000
0.5000 0.5000 0.5000
0.0000 0.0000 0.0000
0.0000 0.0000 0.5000
```



DFT (PBE) results for a relaxed structure of SrYTe2N.

Density   3.18 g cm⁻³
Energy above the lowest structure with this stoichiometry   1.286 eV/atom
Calculated volume   46.6 Å³ per atom
M_tot   2.9 μB/f.u.

Geometry as POSCAR:
```
SrYTe2N
1.0
5.7578 0.0000 0.0000
0.0000 7.0307 0.0000
0.0000 0.0000 5.7578
N Te Sr Y
1 2 1 1
direct
0.5000 0.5000 0.5000
0.5000 0.0000 0.0000
0.0000 0.0000 0.5000
0.0000 0.5000 0.0000
0.0000 0.0000 0.0000
```



DFT (PBE) results for a relaxed structure of Sr2YTeN.

Density   3.65 g cm⁻³
Raw total energy   -4.29 eV/atom
Calculated volume   36.9 Å³ per atom
M_tot   0.0 μB/f.u.

Geometry as POSCAR:
```
Sr2YTeN
1.0
6.5834 0.0000 0.0000
0.0000 6.5834 0.0000
0.0000 0.0000 4.2598
Sr Te Y N
2 1 1 1
direct
0.5000 0.0000 0.0000
0.0000 0.5000 0.0000
0.5000 0.5000 0.5000
0.0000 0.0000 0.0000
0.0000 0.0000 0.5000
```



DFT (PBE) results for a relaxed structure of SrYTe2N.

Density   4.39 g cm⁻³
Energy above the lowest structure with this stoichiometry   0.840 eV/atom
Calculated volume   33.7 Å³ per atom
M_tot   2.1 μB/f.u.

Geometry as POSCAR:
```
SrYTe2N
1.0
6.0537 0.0000 0.0000
0.0000 6.0537 0.0000
0.0000 0.0000 4.5996
Te N Sr Y
2 1 1 1
direct
0.0000 0.5000 0.0000
0.5000 0.0000 0.0000
0.0000 0.0000 0.5000
0.0000 0.0000 0.0000
0.5000 0.5000 0.5000
```



DFT (PBE) results for a relaxed structure of SrYTeN2.

Density   4.42 g cm⁻³
Energy above the lowest structure with this stoichiometry   0.867 eV/atom
Calculated volume   25.0 Å³ per atom
M_tot   1.2 μB/f.u.

Geometry as POSCAR:
```
SrYTeN2
1.0
4.4906 0.0000 0.0000
0.0000 4.4906 0.0000
0.0000 0.0000 6.1895
Te Y N Sr
1 1 2 1
direct
0.0000 0.0000 0.5000
0.5000 0.5000 0.5000
0.5000 0.0000 0.0000
0.0000 0.5000 0.0000
0.0000 0.0000 0.0000
```



DFT (PBE) results for a relaxed structure of SrYTeN2.

Density   4.20 g cm⁻³
Energy above the lowest structure with this stoichiometry   0.000 eV/atom
Calculated volume   26.3 Å³ per atom
M_tot   3.0 μB/f.u.

Geometry as POSCAR:
```
SrYTeN2
1.0
4.6446 0.0000 0.0000
0.0000 4.6446 0.0000
0.0000 0.0000 6.0864
N Y Te Sr
2 1 1 1
direct
0.0000 0.5000 0.0000
0.5000 0.0000 0.0000
0.0000 0.0000 0.0000
0.0000 0.0000 0.5000
0.5000 0.5000 0.5000
```